Record 1
# La8SmAg2, relaxed, DFT PBE-GGA
data_La8SmAg2
_cell_length_a 17.197
_cell_length_b 5.495
_cell_length_c 8.562
_cell_angle_alpha 90.00
_cell_angle_beta 115.30
_cell_angle_gamma 90.00
_space_group_name_H-M_alt 'C 1 2/m 1'
_space_group_IT_number 12
loop_
_space_group_symop_operation_xyz
'x,y,z'
'-x,-y,-z'
'-x,y,-z'
'x,-y,z'
'x+1/2,y+1/2,z'
'-x+1/2,-y+1/2,-z'
'-x+1/2,y+1/2,-z'
'x+1/2,-y+1/2,z'
loop_
_atom_site_label
_atom_site_type_symbol
_atom_site_fract_x
_atom_site_fract_y
_atom_site_fract_z
La1 La 0.050 0.000 0.242
La2 La 0.106 0.500 0.973
La3 La 0.154 0.000 0.718
La4 La 0.191 0.500 0.466
Sm1 Sm 0.000 0.500 0.500
Ag1 Ag 0.213 0.000 0.132
# energy relative to the elements	-0.056	eV per atom
# V	731.41	Å³ per cell
# theoretical density	6.71	Mg/m³
# crystal system	monoclinic
# size of the total moment	0.000	μB/f.u.

Record 2
# Ce2NiGe3Pt4, relaxed, DFT PBE-GGA
data_Ce2NiGe3Pt4
_cell_length_a 4.264
_cell_length_b 4.264
_cell_length_c 10.327
_cell_angle_alpha 90.00
_cell_angle_beta 90.00
_cell_angle_gamma 90.00
_space_group_name_H-M_alt 'P -4 m 2'
_space_group_IT_number 115
loop_
_space_group_symop_operation_xyz
'x,y,z'
'y,-x,-z'
'-x,-y,z'
'-y,x,-z'
'-x,y,z'
'-y,-x,-z'
'x,-y,z'
'y,x,-z'
loop_
_atom_site_label
_atom_site_type_symbol
_atom_site_fract_x
_atom_site_fract_y
_atom_site_fract_z
Ce1 Ce 0.000 0.500 0.237
Ni1 Ni 0.500 0.500 0.000
Ge1 Ge 0.000 0.000 0.000
Ge2 Ge 0.000 0.500 0.633
Pt1 Pt 0.000 0.000 0.500
Pt2 Pt 0.000 0.500 0.868
Pt3 Pt 0.500 0.500 0.500
# energy relative to the elements	-0.825	eV per atom
# V	187.78	Å³ per cell
# theoretical density	11.82	Mg/m³
# crystal system	tetragonal
# size of the total moment	1.189	μB/f.u.

- What is the formula in the first record?
  La8SmAg2

- What is the size of the total moment in the first record?
  0.000 μB/f.u.

- What is the energy relative to the elements in the first record?
  -0.056 eV per atom

- What is the size of the total moment in the second record?
  1.189 μB/f.u.